Li2FeF4: relaxed, GGA+U.

Computed properties:
Total magnetization ... 4.0 μB per formula unit
Volume ... 312.4 Å³ per cell
Total energy ... -144.25 eV/cell

a b c (Å): 6.0244 6.0244 8.6074
angles (deg): 90.00 90.00 90.00
Space group P4_122 (No. 91)
One atom of each set of equivalent atoms:
Li 0.0000 0.2219 0.0000 (multiplicity 4)
Li 0.2503 0.2503 0.3750 (multiplicity 4)
Fe 0.2323 0.5000 0.7500 (multiplicity 4)
F 0.0027 0.2495 0.7619 (multiplicity 8)
F 0.2539 0.4807 0.9968 (multiplicity 8)